[1]
## Ca2TcTeSe (PBE)

Data for a geometry-optimized Ca2TcTeSe structure.

Calculated values
Crystal system: tetragonal

Unit cell a=5.7196 b=5.7196 c=4.5616 alpha=90.00 beta=90.00 gamma=90.00
Space group P4/mmm (No. 123)
Asymmetric unit:
Ca: 0.0000 0.5000 0.0000
Tc: 0.0000 0.0000 0.0000
Te: 0.5000 0.5000 0.5000
Se: 0.0000 0.0000 0.5000



[2]
## Ca2TcTeSe (PBE)

Data for a geometry-optimized Ca2TcTeSe structure.

Calculated values
Crystal system: tetragonal

Unit cell a=5.4330 b=5.4330 c=5.7064 alpha=90.00 beta=90.00 gamma=90.00
Space group P4/mmm (No. 123)
Asymmetric unit:
Ca: 0.0000 0.5000 0.0000
Tc: 0.0000 0.0000 0.5000
Te: 0.5000 0.5000 0.5000
Se: 0.5000 0.5000 0.0000



[3]
## CaTl2TcSe (PBE)

Data for a geometry-optimized CaTl2TcSe structure.

Calculated values
Crystal system: tetragonal

Unit cell a=5.9830 b=5.9830 c=5.2175 alpha=90.00 beta=90.00 gamma=90.00
Space group P4/mmm (No. 123)
Asymmetric unit:
Ca: 0.0000 0.0000 0.0000
Tl: 0.0000 0.5000 0.0000
Tc: 0.5000 0.5000 0.5000
Se: 0.0000 0.0000 0.5000



[4]
## CaTeSe3 (PBE)

Data for a geometry-optimized CaTeSe3 structure.

Calculated values
Crystal system: cubic

Unit cell a=5.3422 b=5.3422 c=5.3422 alpha=90.00 beta=90.00 gamma=90.00
Space group Pm-3m (No. 221)
Asymmetric unit:
Ca: 0.0000 0.0000 0.0000
Te: 0.5000 0.5000 0.5000
Se: 0.0000 0.5000 0.5000



[5]
## CaTeSe2 (PBE)

Data for a geometry-optimized CaTeSe2 structure.

Calculated values
Crystal system: trigonal

Unit cell a=4.5865 b=4.5865 c=18.1904 alpha=90.00 beta=90.00 gamma=120.00
Space group R-3m (No. 166, hexagonal axes)
Asymmetric unit:
Ca: 0.0000 0.0000 0.0000
Te: 0.0000 0.0000 0.5000
Se: 0.0000 0.0000 0.2478



[6]
## CaTeSe2 (PBE)

Data for a geometry-optimized CaTeSe2 structure.

Calculated values
Crystal system: tetragonal

Unit cell a=3.8875 b=3.8875 c=7.0556 alpha=90.00 beta=90.00 gamma=90.00
Space group P4/mmm (No. 123)
Asymmetric unit:
Ca: 0.0000 0.0000 0.0000
Te: 0.0000 0.0000 0.5000
Se: 0.5000 0.5000 0.1765



| no. | raw formation energy (eV per atom) | spin magnetization (Bohr magnetons per cell) |
| --- | --- | --- |
| 1 | -0.397 | 0.74 |
| 2 | 0.313 | 3.91 |
| 3 | 0.953 | 4.12 |
| 4 | -0.361 | 0.00 |
| 5 | -0.640 | 0.00 |
| 6 | -0.656 | 0.00 |